[1]
# YTlBr2 (PBE, optimized geometry)
# * energy above the lowest structure with this stoichiometry: 136.4 meV/atom
# * energy: -4.00 eV per atom
# * total magnetic moment: 0.0 μB per cell
# * N(E_F): 1.8 states/eV/f.u.
# * calculated density: 5.73 g/cm³
data_YTlBr2
_cell_length_a 3.768
_cell_length_b 6.564
_cell_length_c 10.622
_cell_angle_alpha 90.00
_cell_angle_beta 90.00
_cell_angle_gamma 90.00
_space_group_name_H-M_alt 'C m m m'
_space_group_IT_number 65
_space_group_name_Hall '-C 2 2'
loop_
_atom_site_label
_atom_site_type_symbol
_atom_site_fract_x
_atom_site_fract_y
_atom_site_fract_z
Y1 Y 0.000 0.000 0.000
Tl1 Tl 0.000 0.000 0.500
Br1 Br 0.000 0.500 0.203

***

[2]
# YTlBr2 (PBE, optimized geometry)
# * energy above the lowest structure with this stoichiometry: 185.4 meV/atom
# * energy: -3.96 eV per atom
# * total magnetic moment: 0.8 μB per cell
# * N(E_F): 2.8 states/eV/f.u.
# * calculated density: 5.50 g/cm³
data_YTlBr2
_cell_length_a 3.528
_cell_length_b 4.830
_cell_length_c 16.054
_cell_angle_alpha 90.00
_cell_angle_beta 90.00
_cell_angle_gamma 90.00
_space_group_name_H-M_alt 'I m m 2'
_space_group_IT_number 44
loop_
_space_group_symop_operation_xyz
'x,y,z'
'-x,-y,z'
'-x,y,z'
'x,-y,z'
'x+1/2,y+1/2,z+1/2'
'-x+1/2,-y+1/2,z+1/2'
'-x+1/2,y+1/2,z+1/2'
'x+1/2,-y+1/2,z+1/2'
loop_
_atom_site_label
_atom_site_type_symbol
_atom_site_fract_x
_atom_site_fract_y
_atom_site_fract_z
Y1 Y 0.000 0.000 0.000
Tl1 Tl 0.000 0.500 0.300
Br1 Br 0.000 0.000 0.456
Br2 Br 0.000 0.500 0.639

***

[3]
# YTl2Br (PBE, optimized geometry)
# * energy above the lowest structure with this stoichiometry: 277.2 meV/atom
# * energy: -3.53 eV per atom
# * total magnetic moment: 0.5 μB per cell
# * N(E_F): 5.3 states/eV/f.u.
# * calculated density: 7.88 g/cm³
data_YTl2Br
_cell_length_a 4.509
_cell_length_b 4.509
_cell_length_c 5.985
_cell_angle_alpha 90.00
_cell_angle_beta 90.00
_cell_angle_gamma 90.00
_space_group_name_H-M_alt 'P 4/m m m'
_space_group_IT_number 123
_space_group_name_Hall '-P 4 2'
loop_
_atom_site_label
_atom_site_type_symbol
_atom_site_fract_x
_atom_site_fract_y
_atom_site_fract_z
Y1 Y 0.000 0.000 0.000
Tl1 Tl 0.500 0.500 0.245
Br1 Br 0.000 0.000 0.500